[1]
A plane-wave DFT calculation with GGA-PBE was carried out for a relaxed Nd5Si2H crystal.

Cell: 6.9541 6.9541 6.5147 Å, 122.20 122.20 90.14°
Last column: nearest neighbours and their distance in Å.
Positions (direct):
H 0.0275 0.0275 0.0550  5 Nd 2.34-2.48
Nd 0.7486 0.7486 0.9977  1 H 2.47
Nd 0.2490 0.7486 0.9975  1 H 2.48
Nd 0.2491 0.2491 0.9977  1 H 2.47
Nd 0.7537 0.7537 0.5073  1 H 2.34
Nd 0.7486 0.2490 0.9975  1 H 2.48
Si 0.2503 0.7503 0.5006  10 Nd 3.25-3.48
Si 0.7503 0.2503 0.5006  10 Nd 3.25-3.48

- E: -4.993 eV per atom

[2]
A plane-wave DFT calculation with GGA-PBE was carried out for a relaxed ScAlO3 crystal.

Cell: 4.9752 5.2652 7.2914 Å, 90.00 90.00 90.00°
Last column: nearest neighbours and their distance in Å.
Positions (direct):
Al 0.0000 0.5000 0.0000  6 O 1.90-1.94
Al 0.5000 0.0000 0.0000  6 O 1.90-1.94
Al 0.0000 0.5000 0.5000  6 O 1.90-1.94
Al 0.5000 0.0000 0.5000  6 O 1.90-1.94
O 0.6222 0.0456 0.7500  2 Al 1.94, 2 Sc 2.08-2.16
O 0.1923 0.1951 0.5625  2 Al 1.90-1.92, 1 Sc 2.12
O 0.3077 0.6951 0.5625  2 Al 1.90-1.92, 1 Sc 2.12
O 0.3077 0.6951 0.9375  2 Al 1.90-1.92, 1 Sc 2.12
O 0.8778 0.5456 0.7500  2 Al 1.94, 2 Sc 2.08-2.16
O 0.8077 0.8049 0.4375  2 Al 1.90-1.92, 1 Sc 2.12
O 0.6923 0.3049 0.4375  2 Al 1.90-1.92, 1 Sc 2.12
O 0.1923 0.1951 0.9375  2 Al 1.90-1.92, 1 Sc 2.12
O 0.6923 0.3049 0.0625  2 Al 1.90-1.92, 1 Sc 2.12
O 0.8077 0.8049 0.0625  2 Al 1.90-1.92, 1 Sc 2.12
O 0.3778 0.9544 0.2500  2 Al 1.94, 2 Sc 2.08-2.16
O 0.1222 0.4544 0.2500  2 Al 1.94, 2 Sc 2.08-2.16
Sc 0.4781 0.4317 0.7500  4 O 2.08-2.16
Sc 0.0219 0.9317 0.7500  4 O 2.08-2.16
Sc 0.5219 0.5683 0.2500  4 O 2.08-2.16
Sc 0.9781 0.0683 0.2500  4 O 2.08-2.16

- Formation energy (no corrections): -3251 meV per atom